# 1
Computed, not measured: DyMg2Cd after structural relaxation at the GGA-PBE level of DFT.

Cell: 4.151 4.799 4.799 Å, 90.00 90.00 90.00°
Fractional coordinates of all 4 atoms:
Dy 0.000 0.000 0.000
Mg 0.500 0.000 0.501
Mg 0.500 0.500 0.996
Cd 0.000 0.500 0.496

The calculation puts the distance to the lowest polymorph of the same formula at 0.0770 eV/atom. The volume comes out at 23.90 Å³ per atom. Its total energy is -2.27 eV/atom. The space group is Pmm2 (25). As for the crystal system: orthorhombic.



# 2
Computed, not measured: DyMgCd after structural relaxation at the GGA-PBE level of DFT.

Cell: 4.881 4.881 4.881 Å, 60.00 60.00 60.00°
Fractional coordinates of all 3 atoms:
Dy 0.000 0.000 0.000
Mg 0.750 0.750 0.750
Cd 0.500 0.500 0.500

The volume comes out at 27.41 Å³ per atom. Its total energy is -2.18 eV/atom. The space group is F-43m (216). As for the crystal system: cubic.



# 3
Computed, not measured: Dy2MgCd after structural relaxation at the GGA-PBE level of DFT.

Cell: 5.252 5.252 3.829 Å, 90.00 90.00 90.00°
Fractional coordinates of all 4 atoms:
Dy 0.000 0.500 0.000
Dy 0.500 0.000 0.000
Mg 0.000 0.000 0.500
Cd 0.500 0.500 0.500

The volume comes out at 26.41 Å³ per atom. Its total energy is -3.11 eV/atom. The space group is P4/mmm (123). As for the crystal system: tetragonal.



# 4
Computed, not measured: Nd2DyMg3Tl2Cd after structural relaxation at the GGA-PBE level of DFT.

Cell: 4.702 7.626 7.626 Å, 119.30 90.00 90.00°
Fractional coordinates of all 9 atoms:
Nd 0.000 0.211 0.789
Nd 0.000 0.789 0.211
Dy 0.000 0.635 0.635
Mg 0.500 0.214 0.453
Mg 0.500 0.453 0.214
Mg 0.500 0.976 0.976
Tl 0.500 0.548 0.875
Tl 0.500 0.875 0.548
Cd 0.000 0.221 0.221

The volume comes out at 26.50 Å³ per atom. Its total energy is -3.05 eV/atom. The space group is Amm2 (38). As for the crystal system: orthorhombic.



# 5
Computed, not measured: Dy3Mg3Cd2Pd after structural relaxation at the GGA-PBE level of DFT.

Cell: 7.646 7.646 4.306 Å, 90.00 90.00 120.00°
Fractional coordinates of all 9 atoms:
Dy 0.000 0.601 0.000
Dy 0.399 0.399 0.000
Dy 0.601 0.000 0.000
Mg 0.000 0.234 0.500
Mg 0.234 0.000 0.500
Mg 0.766 0.766 0.500
Cd 0.333 0.667 0.500
Cd 0.667 0.333 0.500
Pd 0.000 0.000 0.000

The volume comes out at 24.22 Å³ per atom. Its total energy is -3.20 eV/atom. The space group is P-62m (189). As for the crystal system: hexagonal.



# 6
Computed, not measured: Dy3MgCd2PdPt2 after structural relaxation at the GGA-PBE level of DFT.

Cell: 3.934 7.579 7.579 Å, 120.72 90.00 90.00°
Fractional coordinates of all 9 atoms:
Dy 0.000 0.000 0.000
Dy 0.000 0.188 0.607
Dy 0.000 0.607 0.188
Mg 0.500 0.350 0.350
Cd 0.500 0.595 0.850
Cd 0.500 0.850 0.595
Pd 0.000 0.588 0.588
Pt 0.500 0.270 0.949
Pt 0.500 0.949 0.270

The volume comes out at 21.59 Å³ per atom. Its total energy is -4.69 eV/atom. The space group is Amm2 (38). As for the crystal system: orthorhombic.



# 7
Computed, not measured: Pr2DyMg3Tl2Cd after structural relaxation at the GGA-PBE level of DFT.

Cell: 4.721 7.649 7.649 Å, 119.27 90.00 90.00°
Fractional coordinates of all 9 atoms:
Pr 0.000 0.211 0.789
Pr 0.000 0.789 0.211
Dy 0.000 0.634 0.634
Mg 0.500 0.214 0.453
Mg 0.500 0.453 0.214
Mg 0.500 0.975 0.975
Tl 0.500 0.548 0.873
Tl 0.500 0.873 0.548
Cd 0.000 0.222 0.222

The volume comes out at 26.77 Å³ per atom. Its total energy is -3.05 eV/atom. The space group is Amm2 (38). As for the crystal system: orthorhombic.



# 8
Computed, not measured: Dy3Mg3Cd2Pt after structural relaxation at the GGA-PBE level of DFT.

Cell: 7.594 7.594 4.350 Å, 90.00 90.00 120.00°
Fractional coordinates of all 9 atoms:
Dy 0.000 0.608 0.000
Dy 0.392 0.392 0.000
Dy 0.608 0.000 0.000
Mg 0.000 0.234 0.500
Mg 0.234 0.000 0.500
Mg 0.766 0.766 0.500
Cd 0.333 0.667 0.500
Cd 0.667 0.333 0.500
Pt 0.000 0.000 0.000

The volume comes out at 24.14 Å³ per atom. Its total energy is -3.38 eV/atom. The space group is P-62m (189). As for the crystal system: hexagonal.